[1]
First-principles (PBE) data for a relaxed Mn2CoBr crystal, as listed in Alexandria.

Unit cell a=3.267 b=4.248 c=6.020 alpha=90.00 beta=90.00 gamma=90.00
Atoms (fractional coordinates):
Mn 0.000 0.000 0.000
Mn 0.500 0.500 0.088
Co 0.000 0.500 0.811
Br 0.500 0.500 0.505

Properties
N(E_F) (states/eV/f.u.): 2.84
Symmetry: Pmm2
E_form (uncorrected) (eV per atom): 0.536
Energy relative to the lowest polymorph listed for this composition (eV/atom): 0.3114

=====

[2]
First-principles (PBE) data for a relaxed NiPtCl2 crystal, as listed in Alexandria.

Unit cell a=3.940 b=3.429 c=5.121 alpha=90.00 beta=105.58 gamma=90.00
Atoms (fractional coordinates):
Ni 0.000 0.000 0.000
Pt 0.500 0.500 0.500
Cl 0.000 0.000 0.500
Cl 0.500 0.500 0.000

Properties
N(E_F) (states/eV/f.u.): 3.68
Symmetry: P2/m
E_form (uncorrected) (eV per atom): 0.388
Energy relative to the lowest polymorph listed for this composition (eV/atom): 0.6072

=====

[3]
First-principles (PBE) data for a relaxed Mo3PtSe crystal, as listed in Alexandria.

Unit cell a=4.811 b=4.811 c=4.811 alpha=90.00 beta=90.00 gamma=90.00
Atoms (fractional coordinates):
Mo 0.000 0.000 0.500
Mo 0.000 0.500 0.000
Mo 0.500 0.000 0.000
Pt 0.000 0.000 0.000
Se 0.500 0.500 0.500

Properties
N(E_F) (states/eV/f.u.): 5.01
Symmetry: Pm-3m
E_form (uncorrected) (eV per atom): 1.755
Energy relative to the lowest polymorph listed for this composition (eV/atom): 0.6134

=====

[4]
First-principles (PBE) data for a relaxed Nd2Ag15Hg2 crystal, as listed in Alexandria.

Unit cell a=7.373 b=7.373 c=7.373 alpha=83.02 beta=83.02 gamma=83.02
Atoms (fractional coordinates):
Nd 0.151 0.151 0.151
Nd 0.849 0.849 0.849
Ag 0.000 0.500 0.500
Ag 0.149 0.149 0.663
Ag 0.149 0.663 0.149
Ag 0.191 0.500 0.809
Ag 0.191 0.809 0.500
Ag 0.337 0.851 0.851
Ag 0.500 0.000 0.500
Ag 0.500 0.191 0.809
Ag 0.500 0.500 0.000
Ag 0.500 0.809 0.191
Ag 0.663 0.149 0.149
Ag 0.809 0.191 0.500
Ag 0.809 0.500 0.191
Ag 0.851 0.337 0.851
Ag 0.851 0.851 0.337
Hg 0.393 0.393 0.393
Hg 0.607 0.607 0.607

Properties
N(E_F) (states/eV/f.u.): 8.50
Symmetry: R-3m
Formation enthalpy at 0 K (meV per atom): -74.5

=====

| no. | E (eV per cell) | theoretical density (Mg/m³) |
| --- | --- | --- |
| 1 | -25.0 | 4.9 |
| 2 | -14.0 | 8.1 |
| 3 | -33.2 | 8.4 |
| 4 | -54.3 | 9.8 |